# 1
## Th4TcRuSe2 (PBE-GGA)

Data for a relaxed Th4TcRuSe2 crystal.

Results
Spin magnetization, μB/cell: 0.0
Density, g/cm³: 9.95
Uncorrected energy, eV/atom: -7.9597
Raw formation energy, eV per atom: -0.923
Space-group type: P2/m, No. 10
Fermi-level density of states, states/eV per cell: 4.8

Geometry as POSCAR:
```
Th4TcRuSe2
1.0
7.1068 0.0000 0.0000
0.0000 4.1031 0.0000
-2.3599 0.0000 7.3558
Th Tc Ru Se
4 1 1 2
direct
0.2366 0.0000 0.2157
0.2607 0.5000 0.7864
0.7393 0.5000 0.2136
0.7634 0.0000 0.7843
0.0000 0.5000 0.0000
0.5000 0.0000 0.0000
0.0000 0.0000 0.5000
0.5000 0.5000 0.5000
```

=====

# 2
## Pr2MgAl3Au4 (PBE-GGA)

Data for a relaxed Pr2MgAl3Au4 crystal.

Results
Spin magnetization, μB/cell: 0.0
Density, g/cm³: 9.16
Uncorrected energy, eV/atom: -4.2569
Space-group type: P-4m2, No. 115
Fermi-level density of states, states/eV per cell: 6.7

Geometry as POSCAR:
```
Pr2MgAl3Au4
1.0
4.4970 0.0000 0.0000
0.0000 4.4970 0.0000
0.0000 0.0000 10.5309
Pr Mg Al Au
2 1 3 4
direct
0.0000 0.5000 0.2409
0.5000 0.0000 0.7591
0.0000 0.0000 0.5000
0.0000 0.5000 0.8726
0.5000 0.0000 0.1274
0.5000 0.5000 0.5000
0.0000 0.0000 0.0000
0.0000 0.5000 0.6352
0.5000 0.0000 0.3648
0.5000 0.5000 0.0000
```

=====

# 3
## RbZrSiPd2 (PBE-GGA)

Data for a relaxed RbZrSiPd2 crystal.

Results
Spin magnetization, μB/cell: 0.0
Density, g/cm³: 4.72
Uncorrected energy, eV/atom: -3.8689
Raw formation energy, eV per atom: 1.196
Space-group type: P4/mmm, No. 123
Fermi-level density of states, states/eV per cell: 6.1

Geometry as POSCAR:
```
RbZrSiPd2
1.0
4.9684 0.0000 0.0000
0.0000 4.9684 0.0000
0.0000 0.0000 5.9498
Rb Zr Si Pd
1 1 1 2
direct
0.0000 0.0000 0.0000
0.0000 0.0000 0.5000
0.5000 0.5000 0.0000
0.0000 0.5000 0.5000
0.5000 0.0000 0.5000
```